## LaNiPdW2 (PBE)

Data for a relaxed structure of LaNiPdW2.

Cell: 4.5648 4.5648 4.8996 Å, 90.00 90.00 90.00°
Closest atoms and distances in Å follow each position.
Element x y z (fractional)
La (0.0000, 0.0000, 0.0000)  4 Pd 3.23, 8 W 3.35
Ni (0.5000, 0.5000, 0.5000)  4 W 2.28, 2 Pd 2.45
Pd (0.5000, 0.5000, 0.0000)  2 Ni 2.45
W (0.0000, 0.5000, 0.5000)  2 Ni 2.28
W (0.5000, 0.0000, 0.5000)  2 Ni 2.28

Computed properties:
total magnetic moment	0.0	μB per formula unit
total energy	-7.503	eV/atom
crystal system	tetragonal